Record 1
# VAgOF2 PBE with a Hubbard U relaxed
# - Total moment: 3.2 μB per cell
# - VASP energy: -0.3134 Ry/atom
# - Theoretical density: 4.68 g/cm3
data_VAgOF2
_chemical_formula_sum 'V1 Ag1 O1 F2'
_space_group_name_H-M_alt 'P 4/m m m'
_space_group_IT_number 123
_space_group_name_Hall '-P 4 2'
_cell_length_a 4.2471
_cell_length_b 4.2471
_cell_length_c 4.1879
_cell_angle_alpha 90.00
_cell_angle_beta 90.00
_cell_angle_gamma 90.00
loop_
_atom_site_label
_atom_site_fract_x
_atom_site_fract_y
_atom_site_fract_z
_atom_site_occupancy
V1 0.0000 0.0000 0.0000 1
Ag1 0.5000 0.5000 0.5000 1
O1 0.5000 0.5000 0.0000 1
F1 0.0000 0.5000 0.5000 1

=====

Record 2
# VAg2O2F4 PBE with a Hubbard U relaxed
# - Total moment: 0.0 μB per cell
# - VASP energy: -0.3544 Ry/atom
# - Theoretical density: 4.81 g/cm3
data_VAg2O2F4
_chemical_formula_sum 'V2 Ag4 O4 F8'
_space_group_name_H-M_alt 'C 1 2/m 1'
_space_group_IT_number 12
_cell_length_a 10.0963
_cell_length_b 5.3498
_cell_length_c 5.2176
_cell_angle_alpha 90.00
_cell_angle_beta 113.48
_cell_angle_gamma 90.00
loop_
_space_group_symop_operation_xyz
'x,y,z'
'-x,-y,-z'
'-x,y,-z'
'x,-y,z'
'x+1/2,y+1/2,z'
'-x+1/2,-y+1/2,-z'
'-x+1/2,y+1/2,-z'
'x+1/2,-y+1/2,z'
loop_
_atom_site_label
_atom_site_fract_x
_atom_site_fract_y
_atom_site_fract_z
_atom_site_occupancy
V1 0.0000 0.0000 0.0000 1
Ag1 0.2182 0.5000 0.2613 1
O1 0.1618 0.0000 0.3092 1
F1 0.0828 0.2497 0.8516 1

=====

Record 3
# VAg5O4F2 PBE with a Hubbard U relaxed
# - Total moment: 0.0 μB per cell
# - VASP energy: -0.3425 Ry/atom
# - Theoretical density: 6.27 g/cm3
data_VAg5O4F2
_chemical_formula_sum 'V2 Ag10 O8 F4'
_space_group_name_H-M_alt 'A m m 2'
_space_group_IT_number 38
_cell_length_a 7.0365
_cell_length_b 9.4281
_cell_length_c 5.5307
_cell_angle_alpha 90.00
_cell_angle_beta 90.00
_cell_angle_gamma 90.00
loop_
_space_group_symop_operation_xyz
'x,y,z'
'-x,-y,z'
'-x,y,z'
'x,-y,z'
'x,y+1/2,z+1/2'
'-x,-y+1/2,z+1/2'
'-x,y+1/2,z+1/2'
'x,-y+1/2,z+1/2'
loop_
_atom_site_label
_atom_site_fract_x
_atom_site_fract_y
_atom_site_fract_z
_atom_site_occupancy
V1 0.0000 0.0000 0.0000 1
Ag1 0.2493 0.1639 0.5250 1
Ag2 0.5000 0.0000 0.1520 1
O1 0.0000 0.1523 0.8177 1
O2 0.1977 0.0000 0.1953 1
F1 0.5000 0.1880 0.8216 1

=====

Record 4
# VAgOF4 PBE with a Hubbard U relaxed
# - Total moment: 0.0 μB per cell
# - VASP energy: -0.3874 Ry/atom
# - Theoretical density: 3.90 g/cm3
data_VAgOF4
_chemical_formula_sum 'V4 Ag4 O4 F16'
_space_group_name_H-M_alt 'P 1 21/c 1'
_space_group_IT_number 14
_cell_length_a 5.7877
_cell_length_b 5.2920
_cell_length_c 14.1638
_cell_angle_alpha 90.00
_cell_angle_beta 100.18
_cell_angle_gamma 90.00
loop_
_space_group_symop_operation_xyz
'x,y,z'
'-x,-y,-z'
'-x,y+1/2,-z+1/2'
'x,-y+1/2,z+1/2'
loop_
_atom_site_label
_atom_site_fract_x
_atom_site_fract_y
_atom_site_fract_z
_atom_site_occupancy
V1 0.1741 0.1139 0.3541 1
Ag1 0.3541 0.1372 0.1213 1
O1 0.3367 0.6145 0.9049 1
F1 0.0811 0.5119 0.7291 1
F2 0.1158 0.5357 0.1212 1
F3 0.2044 0.1466 0.9495 1
F4 0.3909 0.1985 0.8006 1

=====

Record 5
# VAgOF2 PBE with a Hubbard U relaxed
# - Total moment: 2.0 μB per cell
# - VASP energy: -0.4076 Ry/atom
# - Theoretical density: 5.46 g/cm3
data_VAgOF2
_chemical_formula_sum 'V1 Ag1 O1 F2'
_space_group_name_H-M_alt 'P 4/m m m'
_space_group_IT_number 123
_space_group_name_Hall '-P 4 2'
_cell_length_a 4.1227
_cell_length_b 4.1227
_cell_length_c 3.8054
_cell_angle_alpha 90.00
_cell_angle_beta 90.00
_cell_angle_gamma 90.00
loop_
_atom_site_label
_atom_site_fract_x
_atom_site_fract_y
_atom_site_fract_z
_atom_site_occupancy
V1 0.0000 0.0000 0.0000 1
Ag1 0.5000 0.5000 0.5000 1
O1 0.0000 0.0000 0.5000 1
F1 0.0000 0.5000 0.0000 1

=====

Record 6
# AgWOF2 PBE with a Hubbard U relaxed
# - Total moment: 4.1 μB per cell
# - VASP energy: -0.2944 Ry/atom
# - Theoretical density: 7.40 g/cm3
data_AgWOF2
_chemical_formula_sum 'Ag1 W1 O1 F2'
_space_group_name_H-M_alt 'P 4/m m m'
_space_group_IT_number 123
_space_group_name_Hall '-P 4 2'
_cell_length_a 4.2161
_cell_length_b 4.2161
_cell_length_c 4.3669
_cell_angle_alpha 90.00
_cell_angle_beta 90.00
_cell_angle_gamma 90.00
loop_
_atom_site_label
_atom_site_fract_x
_atom_site_fract_y
_atom_site_fract_z
_atom_site_occupancy
Ag1 0.0000 0.0000 0.0000 1
W1 0.5000 0.5000 0.5000 1
O1 0.0000 0.0000 0.5000 1
F1 0.0000 0.5000 0.0000 1

=====

Record 7
# AgWOF2 PBE with a Hubbard U relaxed
# - Total moment: 2.8 μB per cell
# - VASP energy: -0.3811 Ry/atom
# - Theoretical density: 7.62 g/cm3
data_AgWOF2
_chemical_formula_sum 'Ag1 W1 O1 F2'
_space_group_name_H-M_alt 'P 4/m m m'
_space_group_IT_number 123
_space_group_name_Hall '-P 4 2'
_cell_length_a 4.2736
_cell_length_b 4.2736
_cell_length_c 4.1276
_cell_angle_alpha 90.00
_cell_angle_beta 90.00
_cell_angle_gamma 90.00
loop_
_atom_site_label
_atom_site_fract_x
_atom_site_fract_y
_atom_site_fract_z
_atom_site_occupancy
Ag1 0.0000 0.0000 0.0000 1
W1 0.5000 0.5000 0.5000 1
O1 0.5000 0.5000 0.0000 1
F1 0.0000 0.5000 0.5000 1

=====

Record 8
# AgWO2F PBE with a Hubbard U relaxed
# - Total moment: 2.0 μB per cell
# - VASP energy: -0.4242 Ry/atom
# - Theoretical density: 8.16 g/cm3
data_AgWO2F
_chemical_formula_sum 'Ag1 W1 O2 F1'
_space_group_name_H-M_alt 'P 4/m m m'
_space_group_IT_number 123
_space_group_name_Hall '-P 4 2'
_cell_length_a 4.0577
_cell_length_b 4.0577
_cell_length_c 4.2378
_cell_angle_alpha 90.00
_cell_angle_beta 90.00
_cell_angle_gamma 90.00
loop_
_atom_site_label
_atom_site_fract_x
_atom_site_fract_y
_atom_site_fract_z
_atom_site_occupancy
Ag1 0.0000 0.0000 0.0000 1
W1 0.5000 0.5000 0.5000 1
O1 0.0000 0.5000 0.5000 1
F1 0.5000 0.5000 0.0000 1